A geometry-optimized Tl2Ni structure, computed with GGA-PBEsol.

The value obtained for the density is 12.39 g/cm³. The energy of formation is 301 meV per atom. The value obtained for the magnetization is 0.00 μB/f.u. The calculation puts the calculated volume at 62.6 Å³/cell. The calculation puts the uncorrected energy at -3.505 eV per atom.

The space group is P-3m1 (No. 164) and the conventional cell measures 3.4030, 3.4030 and 6.2469 Å, with angles of 90.00, 90.00 and 120.00 degrees. The inequivalent atoms are Tl at (0.3333, 0.6667, 0.2860) and Ni at (0.0000, 0.0000, 0.0000).



A geometry-optimized K2CoAu structure, computed with GGA-PBEsol.

The value obtained for the density is 4.81 g/cm³. The energy of formation is 498 meV per atom. The value obtained for the magnetization is 1.56 μB/f.u. The calculation puts the calculated volume at 230.6 Å³/cell. As for the energy above the most stable polymorph in this dataset: 0 meV per atom. The calculation puts the uncorrected energy at -2.984 eV per atom.

The space group is Imm2 (No. 44) and the conventional cell measures 4.502, 5.609 and 9.131 Å, with angles of 90.00, 90.00 and 90.00 degrees. The inequivalent atoms are K at (0.000, 0.000, 0.000), K at (0.000, 0.500, 0.192), Co at (0.000, 0.000, 0.388) and Au at (0.000, 0.500, 0.800).



A geometry-optimized La2BeAg structure, computed with GGA-PBEsol.

The value obtained for the density is 6.73 g/cm³. The energy of formation is 26 meV per atom. The value obtained for the magnetization is 0.00 μB/f.u. The calculation puts the calculated volume at 194.8 Å³/cell. The calculation puts the uncorrected energy at -4.475 eV per atom.

The space group is Amm2 (No. 38) and the conventional cell measures 4.419, 3.736 and 11.799 Å, with angles of 90.00, 90.00 and 90.00 degrees. The inequivalent atoms are La at (0.000, 0.000, 0.000), La at (0.500, 0.000, 0.311), Be at (0.000, 0.000, 0.712) and Ag at (0.500, 0.000, 0.602).



A geometry-optimized ScPb7 structure, computed with GGA-PBEsol.

The value obtained for the density is 11.08 g/cm³. The energy of formation is -60 meV per atom. The value obtained for the magnetization is 0.00 μB/f.u. The calculation puts the calculated volume at 896.1 Å³/cell. The calculation puts the uncorrected energy at -4.385 eV per atom.

The space group is Fm-3m (No. 225) and the conventional cell measures 9.641, 9.641 and 9.641 Å, with angles of 90.00, 90.00 and 90.00 degrees. The inequivalent atoms are Sc at (0.000, 0.000, 0.000), Pb at (0.000, 0.000, 0.500) and Pb at (0.000, 0.250, 0.250).



A geometry-optimized CoMo3 structure, computed with GGA-PBEsol.

The value obtained for the density is 10.16 g/cm³. The energy of formation is 166 meV per atom. The value obtained for the magnetization is 1.55 μB/f.u. The calculation puts the calculated volume at 169.9 Å³/cell. The calculation puts the uncorrected energy at -10.594 eV per atom.

The space group is R-3m (No. 166, hexagonal axes) and the conventional cell measures 8.6407, 8.6407 and 2.6282 Å, with angles of 90.00, 90.00 and 120.00 degrees. The inequivalent atoms are Co at (0.0000, 0.0000, 0.0000) and Mo at (0.0000, 0.5000, 0.0000).



A geometry-optimized HfAlIN2 structure, computed with GGA-PBEsol.

The value obtained for the density is 5.97 g/cm³. The value obtained for the magnetization is 0.05 μB/f.u. The calculation puts the calculated volume at 100.2 Å³/cell. The uncorrected formation energy is 308.5 meV per atom. The calculation puts the uncorrected energy at -6.374 eV per atom.

The space group is P4/mmm (No. 123) and the conventional cell measures 4.157, 4.157 and 5.800 Å, with angles of 90.00, 90.00 and 90.00 degrees. The inequivalent atoms are Hf at (0.000, 0.000, 0.000), Al at (0.500, 0.500, 0.500), I at (0.000, 0.000, 0.500) and N at (0.000, 0.500, 0.000).



A geometry-optimized BeAsBr2Cl structure, computed with GGA-PBEsol.

The value obtained for the density is 3.52 g/cm³. The value obtained for the magnetization is 0.39 μB/f.u. The calculation puts the calculated volume at 131.9 Å³/cell. The uncorrected formation energy is 1118.7 meV per atom. The calculation puts the uncorrected energy at -1.852 eV per atom.

The space group is P4/mmm (No. 123) and the conventional cell measures 5.172, 5.172 and 4.928 Å, with angles of 90.00, 90.00 and 90.00 degrees. The inequivalent atoms are Be at (0.000, 0.000, 0.000), As at (0.500, 0.500, 0.000), Br at (0.000, 0.500, 0.500) and Cl at (0.500, 0.500, 0.500).



A geometry-optimized Mn3CdNi structure, computed with GGA-PBEsol.

The value obtained for the density is 6.26 g/cm³. The energy of formation is 894 meV per atom. The value obtained for the magnetization is 12.51 μB/f.u. The calculation puts the calculated volume at 89.1 Å³/cell. The calculation puts the uncorrected energy at -6.433 eV per atom.

The space group is Pm-3m (No. 221) and the conventional cell measures 4.467, 4.467 and 4.467 Å, with angles of 90.00, 90.00 and 90.00 degrees. The inequivalent atoms are Mn at (0.000, 0.000, 0.500), Cd at (0.500, 0.500, 0.500) and Ni at (0.000, 0.000, 0.000).



A geometry-optimized AsSeBr2Cl structure, computed with GGA-PBEsol.

The value obtained for the density is 4.25 g/cm³. The value obtained for the magnetization is 0.95 μB/f.u. The calculation puts the calculated volume at 136.5 Å³/cell. The uncorrected formation energy is 415.4 meV per atom. The calculation puts the uncorrected energy at -2.526 eV per atom.

The space group is P4/mmm (No. 123) and the conventional cell measures 5.102, 5.102 and 5.243 Å, with angles of 90.00, 90.00 and 90.00 degrees. The inequivalent atoms are As at (0.000, 0.000, 0.000), Se at (0.000, 0.000, 0.500), Br at (0.000, 0.500, 0.500) and Cl at (0.500, 0.500, 0.000).



A geometry-optimized Ca2BeNi structure, computed with GGA-PBEsol.

The value obtained for the density is 3.09 g/cm³. The energy of formation is 267 meV per atom. The value obtained for the magnetization is 0.00 μB/f.u. The calculation puts the calculated volume at 79.5 Å³/cell. The calculation puts the uncorrected energy at -3.339 eV per atom.

The space group is P4/mmm (No. 123) and the conventional cell measures 4.786, 4.786 and 3.471 Å, with angles of 90.00, 90.00 and 90.00 degrees. The inequivalent atoms are Ca at (0.000, 0.500, 0.000), Be at (0.000, 0.000, 0.500) and Ni at (0.500, 0.500, 0.500).



A geometry-optimized NaMgTe3 structure, computed with GGA-PBEsol.

The value obtained for the density is 4.32 g/cm³. The value obtained for the magnetization is 0.00 μB/f.u. The calculation puts the calculated volume at 165.4 Å³/cell. The uncorrected formation energy is -146.8 meV per atom. The calculation puts the uncorrected energy at -2.886 eV per atom.

The space group is Pm-3m (No. 221) and the conventional cell measures 5.489, 5.489 and 5.489 Å, with angles of 90.00, 90.00 and 90.00 degrees. The inequivalent atoms are Na at (0.000, 0.000, 0.000), Mg at (0.500, 0.500, 0.500) and Te at (0.000, 0.500, 0.500).



A geometry-optimized KCa2As structure, computed with GGA-PBEsol.

The value obtained for the density is 2.19 g/cm³. The energy of formation is -492 meV per atom. The value obtained for the magnetization is 0.00 μB/f.u. The calculation puts the calculated volume at 147.0 Å³/cell. The calculation puts the uncorrected energy at -3.118 eV per atom.

The space group is P4/mmm (No. 123) and the conventional cell measures 3.760, 3.760 and 10.399 Å, with angles of 90.00, 90.00 and 90.00 degrees. The inequivalent atoms are K at (0.000, 0.000, 0.000), Ca at (0.500, 0.500, 0.355) and As at (0.000, 0.000, 0.500).



A geometry-optimized PtWAu2 structure, computed with GGA-PBEsol.

The value obtained for the density is 19.94 g/cm³. The energy of formation is 296 meV per atom. The value obtained for the magnetization is 0.00 μB/f.u. The calculation puts the calculated volume at 257.4 Å³/cell. As for the energy above the most stable polymorph in this dataset: 314 meV per atom. The calculation puts the uncorrected energy at -6.859 eV per atom.

The space group is F-43m (No. 216) and the conventional cell measures 6.361, 6.361 and 6.361 Å, with angles of 90.00, 90.00 and 90.00 degrees. The inequivalent atoms are Pt at (0.000, 0.000, 0.000), W at (0.250, 0.250, 0.750), Au at (0.000, 0.000, 0.500) and Au at (0.250, 0.250, 0.250).



A geometry-optimized CoOs2S structure, computed with GGA-PBEsol.

The value obtained for the density is 15.87 g/cm³. The value obtained for the magnetization is 0.01 μB/f.u. The calculation puts the calculated volume at 197.3 Å³/cell. The uncorrected formation energy is 526.7 meV per atom. The calculation puts the uncorrected energy at -8.612 eV per atom.

The space group is Fm-3m (No. 225) and the conventional cell measures 5.821, 5.821 and 5.821 Å, with angles of 90.00, 90.00 and 90.00 degrees. The inequivalent atoms are Co at (0.000, 0.000, 0.000), Os at (0.250, 0.250, 0.250) and S at (0.000, 0.000, 0.500).